Density functional theory data (GGA+U) for a geometry-optimized KCoGe2O6 structure.

```
data_KCoGe2O6
_chemical_formula_sum 'K2 Co2 Ge4 O12'
_cell_length_a 6.865
_cell_length_b 6.865
_cell_length_c 5.501
_cell_angle_alpha 102.24
_cell_angle_beta 102.24
_cell_angle_gamma 84.23
_symmetry_space_group_name_H-M 'P 1'
_symmetry_Int_Tables_number 1
loop_
_symmetry_equiv_pos_as_xyz
'x,y,z'
loop_
_atom_site_label
_atom_site_fract_x
_atom_site_fract_y
_atom_site_fract_z
Co1 0.102 0.898 0.250
Co2 0.898 0.102 0.750
Ge1 0.189 0.377 0.185
Ge2 0.623 0.811 0.315
Ge3 0.377 0.189 0.685
Ge4 0.811 0.623 0.815
K1 0.695 0.305 0.250
K2 0.305 0.695 0.750
O1 0.656 0.632 0.036
O2 0.033 0.174 0.108
O3 0.382 0.919 0.231
O4 0.081 0.618 0.269
O5 0.826 0.967 0.392
O6 0.368 0.344 0.464
O7 0.632 0.656 0.536
O8 0.174 0.033 0.608
O9 0.919 0.382 0.731
O10 0.618 0.081 0.769
O11 0.967 0.826 0.892
O12 0.344 0.368 0.964
```

## Properties
calculated volume	12.358	Å³ per atom
DFT total energy	-0.221	hartree per atom
total moment	8.000	μB per cell